# 1
Below is Ca2RuRh after structural relaxation, with properties calculated at the PBE level.

## Properties
formation energy from the elements = 156 meV per atom
total magnetic moment = 1.2 μB per formula unit
N(E_F) = 1.20 states/eV/atom

POSCAR file:
```
Ca2RuRh
1.0
3.3068 0.0000 0.0000
0.0000 3.4872 0.0007
0.0000 3.4881 7.0222
Ru Ca Rh
1 2 1
Direct
0.5000 0.7500 0.7500 Ru
0.0000 0.9931 0.0069 Ca
0.0000 0.5069 0.4931 Ca
0.5000 0.2500 0.2500 Rh
```


# 2
Below is CaRuRh2 after structural relaxation, with properties calculated at the PBE level.

## Properties
formation energy from the elements = 77 meV per atom
energy above the lowest structure with this stoichiometry = 0.16 eV/f.u.
total magnetic moment = 0.0 μB per formula unit
N(E_F) = 1.37 states/eV/atom

POSCAR file:
```
CaRuRh2
1.0
2.8635 0.0000 0.0000
0.0000 3.7274 0.0000
0.0000 0.0000 6.3854
Ru Ca Rh
1 1 2
Direct
0.5000 0.5000 0.2500 Ru
0.5000 0.5000 0.7500 Ca
0.0000 0.0000 0.0461 Rh
0.0000 0.0000 0.4539 Rh
```


# 3
Below is CaRu2Rh after structural relaxation, with properties calculated at the PBE level.

## Properties
formation energy from the elements = 498 meV per atom
energy above the lowest structure with this stoichiometry = 1.27 eV/f.u.
total magnetic moment = 0.8 μB per formula unit
N(E_F) = 1.77 states/eV/atom

POSCAR file:
```
CaRu2Rh
1.0
4.6560 0.0000 0.0000
0.0000 4.6560 0.0000
0.0000 0.0000 2.9817
Ru Ca Rh
2 1 1
Direct
0.0000 0.0000 0.0000 Ru
0.5000 0.5000 0.0000 Ru
0.5000 0.0000 0.5000 Ca
0.0000 0.5000 0.5000 Rh
```


# 4
Below is CaRuRh2 after structural relaxation, with properties calculated at the PBE level.

## Properties
formation energy from the elements = 314 meV per atom
energy above the lowest structure with this stoichiometry = 1.11 eV/f.u.
total magnetic moment = 0.0 μB per formula unit
N(E_F) = 1.17 states/eV/atom

POSCAR file:
```
CaRuRh2
1.0
-4.7876 7.8701 0.4313
-6.2731 6.5534 -1.6576
-6.8947 6.0238 1.1059
Ru Ca Rh
1 1 2
Direct
0.2500 0.2500 0.2500 Ru
0.7500 0.7500 0.7500 Ca
0.9940 0.9940 0.9940 Rh
0.5060 0.5060 0.5060 Rh
```


# 5
Below is CaRu2Rh after structural relaxation, with properties calculated at the PBE level.

## Properties
formation energy from the elements = 427 meV per atom
energy above the lowest structure with this stoichiometry = 0.99 eV/f.u.
total magnetic moment = 0.0 μB per formula unit
N(E_F) = 1.47 states/eV/atom

POSCAR file:
```
CaRu2Rh
1.0
-0.7658 -1.6990 -2.5046
1.7878 -2.3386 1.0397
-5.5627 -2.6863 3.5230
Ru Ca Rh
2 1 1
Direct
0.0000 0.0000 0.9496 Ru
0.0000 0.0000 0.5504 Ru
0.5000 0.5000 0.2500 Ca
0.5000 0.5000 0.7500 Rh
```


# 6
Below is CaRuRh2 after structural relaxation, with properties calculated at the PBE level.

## Properties
formation energy from the elements = 133 meV per atom
energy above the lowest structure with this stoichiometry = 0.38 eV/f.u.
total magnetic moment = 0.0 μB per formula unit
N(E_F) = 1.17 states/eV/atom

POSCAR file:
```
CaRuRh2
1.0
-1.5600 0.0158 4.5585
1.2491 -0.0735 4.6528
0.1351 5.1358 0.8379
Ru Ca Rh
1 1 2
Direct
0.7500 0.7500 0.7500 Ru
0.2500 0.2500 0.2500 Ca
0.0088 0.0088 0.9587 Rh
0.4912 0.4912 0.5413 Rh
```


# 7
Below is CaRuRh2 after structural relaxation, with properties calculated at the PBE level.

## Properties
formation energy from the elements = 198 meV per atom
energy above the lowest structure with this stoichiometry = 0.64 eV/f.u.
total magnetic moment = 0.0 μB per formula unit
N(E_F) = 1.26 states/eV/atom

POSCAR file:
```
CaRuRh2
1.0
-3.1281 0.7836 3.7779
2.3171 -0.6146 4.3502
1.1069 2.6524 -4.0510
Ru Ca Rh
1 1 2
Direct
0.5000 0.5000 0.0000 Ru
0.7500 0.2500 0.5000 Ca
0.0000 0.0000 0.0000 Rh
0.2500 0.7500 0.5000 Rh
```


# 8
Below is CaRu2Rh after structural relaxation, with properties calculated at the PBE level.

## Properties
formation energy from the elements = 298 meV per atom
energy above the lowest structure with this stoichiometry = 0.48 eV/f.u.
total magnetic moment = 0.0 μB per formula unit
N(E_F) = 1.00 states/eV/atom

POSCAR file:
```
CaRu2Rh
1.0
-5.5293 0.7966 0.8513
-2.6301 -2.1140 4.5328
3.8992 3.3828 -2.2991
Ru Ca Rh
2 1 1
Direct
0.9959 0.9959 0.0000 Ru
0.7808 0.2808 0.5000 Ru
0.4991 0.4991 0.0000 Ca
0.2242 0.7242 0.5000 Rh
```


# 9
Below is CaRuRh2 after structural relaxation, with properties calculated at the PBE level.

## Properties
formation energy from the elements = 346 meV per atom
energy above the lowest structure with this stoichiometry = 1.24 eV/f.u.
total magnetic moment = 0.0 μB per formula unit
N(E_F) = 1.27 states/eV/atom

POSCAR file:
```
CaRuRh2
1.0
7.3877 0.0000 0.0000
0.0000 7.3877 0.0000
3.6938 3.6938 2.7692
Ru Ca Rh
2 2 4
Direct
0.0000 0.0000 0.0000 Ru
0.7500 0.2500 0.5000 Ru
0.5000 0.5000 0.0000 Ca
0.2500 0.7500 0.5000 Ca
0.6789 0.1250 0.2500 Rh
0.0711 0.6250 0.2500 Rh
0.3750 0.3211 0.7500 Rh
0.8750 0.9289 0.7500 Rh
```


# 10
Below is CaRuRh2 after structural relaxation, with properties calculated at the PBE level.

## Properties
formation energy from the elements = 37 meV per atom
energy above the lowest structure with this stoichiometry = 0.00 eV/f.u.
total magnetic moment = 0.0 μB per formula unit
N(E_F) = 1.09 states/eV/atom

POSCAR file:
```
CaRuRh2
1.0
-2.7941 0.7067 0.1125
-0.3799 -1.8508 2.1793
1.6753 5.7940 5.2127
Ru Ca Rh
1 1 2
Direct
0.5000 0.5000 0.2500 Ru
0.5000 0.5000 0.7500 Ca
0.0000 0.0000 0.0352 Rh
0.0000 0.0000 0.4648 Rh
```


# 11
Below is CaRuRh2 after structural relaxation, with properties calculated at the PBE level.

## Properties
formation energy from the elements = 187 meV per atom
energy above the lowest structure with this stoichiometry = 0.60 eV/f.u.
total magnetic moment = 3.8 μB per formula unit
N(E_F) = 0.58 states/eV/atom

POSCAR file:
```
CaRuRh2
1.0
0.0000 3.2332 3.2332
3.2332 0.0000 3.2332
3.2332 3.2332 0.0000
Ru Ca Rh
1 1 2
Direct
0.5000 0.5000 0.5000 Ru
0.0000 0.0000 0.0000 Ca
0.2500 0.2500 0.2500 Rh
0.7500 0.7500 0.7500 Rh
```


# 12
Below is CaRu2Rh after structural relaxation, with properties calculated at the PBE level.

## Properties
formation energy from the elements = 217 meV per atom
energy above the lowest structure with this stoichiometry = 0.15 eV/f.u.
total magnetic moment = 0.0 μB per formula unit
N(E_F) = 1.57 states/eV/atom

POSCAR file:
```
CaRu2Rh
1.0
-2.7577 -0.5682 -0.4049
-0.2307 -1.3354 3.4451
-1.5496 5.9509 2.2029
Ru Ca Rh
2 1 1
Direct
0.0000 0.0000 0.0122 Ru
0.5000 0.5000 0.1893 Ru
0.0000 0.0000 0.5081 Ca
0.5000 0.5000 0.7905 Rh
```